1.
! BeAl3, relaxed, DFT PBE-GGA; values from VASP
! energy relative to the elements	0.1574	eV per atom
! space group	C2/m
! crystal system	monoclinic
&SYSTEM
  ibrav = 0, nat = 4, ntyp = 2
/
ATOMIC_SPECIES
Be 9.01 Be.upf
Al 26.98 Al.upf
ATOMIC_POSITIONS crystal
Be 0.000 0.000 0.000
Al 0.500 0.500 0.500
Al 0.737 0.737 0.764
Al 0.263 0.263 0.236
CELL_PARAMETERS angstrom
-2.944 3.452 -1.103
-1.805 2.539 -3.479
-4.115 -2.379 -1.058

2.
! BeAl3, relaxed, DFT PBE-GGA; values from VASP
! energy relative to the elements	0.2121	eV per atom
! space group	Pmm2
! crystal system	orthorhombic
&SYSTEM
  ibrav = 0, nat = 4, ntyp = 2
/
ATOMIC_SPECIES
Be 9.01 Be.upf
Al 26.98 Al.upf
ATOMIC_POSITIONS crystal
Be 0.000 0.500 0.336
Al 0.000 0.000 0.010
Al 0.500 0.000 0.490
Al 0.500 0.500 0.831
CELL_PARAMETERS angstrom
2.783 0.000 0.000
0.000 4.406 0.000
0.000 0.000 4.792

3.
! BeAl, relaxed, DFT PBE-GGA; values from VASP
! energy relative to the elements	0.1107	eV per atom
! space group	Pnma
! crystal system	orthorhombic
&SYSTEM
  ibrav = 0, nat = 8, ntyp = 2
/
ATOMIC_SPECIES
Be 9.01 Be.upf
Al 26.98 Al.upf
ATOMIC_POSITIONS crystal
Be 0.750 0.385 0.023
Be 0.250 0.885 0.477
Be 0.750 0.115 0.523
Be 0.250 0.615 0.977
Al 0.750 0.883 0.161
Al 0.250 0.383 0.339
Al 0.750 0.617 0.661
Al 0.250 0.117 0.839
CELL_PARAMETERS angstrom
-3.636 -0.109 0.409
0.528 -1.573 4.274
0.063 5.625 2.062

4.
! Be6Al7, relaxed, DFT PBE-GGA; values from VASP
! energy relative to the elements	0.5186	eV per atom
! space group	R-3m
! crystal system	trigonal
&SYSTEM
  ibrav = 0, nat = 13, ntyp = 2
/
ATOMIC_SPECIES
Be 9.01 Be.upf
Al 26.98 Al.upf
ATOMIC_POSITIONS crystal
Be 0.950 0.950 0.950
Be 0.050 0.050 0.050
Be 0.855 0.855 0.855
Be 0.145 0.145 0.145
Be 0.666 0.666 0.666
Be 0.334 0.334 0.334
Al 0.923 0.417 0.417
Al 0.417 0.417 0.923
Al 0.417 0.923 0.417
Al 0.077 0.583 0.583
Al 0.583 0.077 0.583
Al 0.583 0.583 0.077
Al 0.500 0.500 0.500
CELL_PARAMETERS angstrom
-2.062 -3.474 -7.510
-1.568 -7.341 -4.046
-5.933 -4.490 -4.167

5.
! Be2Al, relaxed, DFT PBE-GGA; values from VASP
! relative energy among the computed polymorphs	202	meV/atom
! energy relative to the elements	0.2626	eV per atom
! space group	Cmcm
! crystal system	orthorhombic
&SYSTEM
  ibrav = 0, nat = 6, ntyp = 2
/
ATOMIC_SPECIES
Be 9.01 Be.upf
Al 26.98 Al.upf
ATOMIC_POSITIONS crystal
Be 0.385 0.615 0.250
Be 0.615 0.385 0.750
Be 0.749 0.251 0.250
Be 0.251 0.749 0.750
Al 0.091 0.909 0.250
Al 0.909 0.091 0.750
CELL_PARAMETERS angstrom
-3.510 4.350 -1.426
3.450 -4.159 -2.019
-2.774 -2.264 -0.077

6.
! BeAl, relaxed, DFT PBE-GGA; values from VASP
! energy relative to the elements	0.3303	eV per atom
! space group	P-6m2
! crystal system	hexagonal
&SYSTEM
  ibrav = 0, nat = 2, ntyp = 2
/
ATOMIC_SPECIES
Be 9.01 Be.upf
Al 26.98 Al.upf
ATOMIC_POSITIONS crystal
Be 0.333 0.667 0.500
Al 0.000 0.000 0.000
CELL_PARAMETERS angstrom
2.706 0.000 0.000
-1.353 2.343 0.000
0.000 0.000 4.051